Version A
The following is a DFT calculation (GGA-PBE) of SrReTc2 after structural relaxation.

crystal system: monoclinic

```
data_SrReTc2
_chemical_formula_sum 'Sr2 Re2 Tc4'
_space_group_name_H-M_alt 'C 1 m 1'
_space_group_IT_number 8
_cell_length_a 9.5662
_cell_length_b 3.0882
_cell_length_c 5.8237
_cell_angle_alpha 90.00
_cell_angle_beta 104.38
_cell_angle_gamma 90.00
loop_
_space_group_symop_operation_xyz
'x,y,z'
'x,-y,z'
'x+1/2,y+1/2,z'
'x+1/2,-y+1/2,z'
loop_
_atom_site_label
_atom_site_type_symbol
_atom_site_fract_x
_atom_site_fract_y
_atom_site_fract_z
Sr1 Sr 0.0000 0.0000 0.0000
Re1 Re 0.2861 0.5000 0.3648
Tc1 Tc 0.2152 0.0000 0.6561
Tc2 Tc 0.4988 0.0000 0.4966
```

=====

Version B
The following is a DFT calculation (GGA-PBE) of SrReTc2 after structural relaxation.

crystal system: tetragonal

```
data_SrReTc2
_chemical_formula_sum 'Sr4 Re4 Tc8'
_space_group_name_H-M_alt 'I -4 2 d'
_space_group_IT_number 122
_space_group_name_Hall 'I -4 2bw'
_cell_length_a 7.4937
_cell_length_b 7.4937
_cell_length_c 6.0888
_cell_angle_alpha 90.00
_cell_angle_beta 90.00
_cell_angle_gamma 90.00
loop_
_atom_site_label
_atom_site_type_symbol
_atom_site_fract_x
_atom_site_fract_y
_atom_site_fract_z
Sr1 Sr 0.0000 0.0000 0.0000
Re1 Re 0.0000 0.0000 0.5000
Tc1 Tc 0.1810 0.7500 0.6250
```

=====

Q: What are the energies relative to the best structure? A: version A 0.0; version B 28.0, in kJ/mol of atoms.

=====

Version A
The following is a DFT calculation (GGA-PBE) of SrReTe3 after structural relaxation.

crystal system: cubic

```
data_SrReTe3
_chemical_formula_sum 'Sr1 Re1 Te3'
_space_group_name_H-M_alt 'P m -3 m'
_space_group_IT_number 221
_space_group_name_Hall '-P 4 2 3'
_cell_length_a 6.1247
_cell_length_b 6.1247
_cell_length_c 6.1247
_cell_angle_alpha 90.00
_cell_angle_beta 90.00
_cell_angle_gamma 90.00
loop_
_atom_site_label
_atom_site_type_symbol
_atom_site_fract_x
_atom_site_fract_y
_atom_site_fract_z
Sr1 Sr 0.0000 0.0000 0.0000
Re1 Re 0.5000 0.5000 0.5000
Te1 Te 0.0000 0.0000 0.5000
```

=====

Version B
The following is a DFT calculation (GGA-PBE) of SrReTe3 after structural relaxation.

crystal system: cubic

```
data_SrReTe3
_chemical_formula_sum 'Sr1 Re1 Te3'
_space_group_name_H-M_alt 'P m -3 m'
_space_group_IT_number 221
_space_group_name_Hall '-P 4 2 3'
_cell_length_a 5.4252
_cell_length_b 5.4252
_cell_length_c 5.4252
_cell_angle_alpha 90.00
_cell_angle_beta 90.00
_cell_angle_gamma 90.00
loop_
_atom_site_label
_atom_site_type_symbol
_atom_site_fract_x
_atom_site_fract_y
_atom_site_fract_z
Sr1 Sr 0.0000 0.0000 0.0000
Re1 Re 0.5000 0.5000 0.5000
Te1 Te 0.0000 0.5000 0.5000
```

=====

Q: What are the energies relative to the best structure? A: version A 133.8; version B 0.0, in kJ/mol of atoms.

=====

Version A
The following is a DFT calculation (GGA-PBE) of SrReTe2 after structural relaxation.

crystal system: orthorhombic

```
data_SrReTe2
_chemical_formula_sum 'Sr2 Re2 Te4'
_space_group_name_H-M_alt 'I m m m'
_space_group_IT_number 71
_space_group_name_Hall '-I 2 2'
_cell_length_a 4.0789
_cell_length_b 6.1817
_cell_length_c 9.0560
_cell_angle_alpha 90.00
_cell_angle_beta 90.00
_cell_angle_gamma 90.00
loop_
_atom_site_label
_atom_site_type_symbol
_atom_site_fract_x
_atom_site_fract_y
_atom_site_fract_z
Sr1 Sr 0.0000 0.0000 0.0000
Re1 Re 0.0000 0.0000 0.5000
Te1 Te 0.0000 0.5000 0.1891
```

=====

Version B
The following is a DFT calculation (GGA-PBE) of SrReTe2 after structural relaxation.

crystal system: monoclinic

```
data_SrReTe2
_chemical_formula_sum 'Sr2 Re2 Te4'
_space_group_name_H-M_alt 'C 1 m 1'
_space_group_IT_number 8
_cell_length_a 12.6437
_cell_length_b 3.5732
_cell_length_c 5.6840
_cell_angle_alpha 90.00
_cell_angle_beta 116.01
_cell_angle_gamma 90.00
loop_
_space_group_symop_operation_xyz
'x,y,z'
'x,-y,z'
'x+1/2,y+1/2,z'
'x+1/2,-y+1/2,z'
loop_
_atom_site_label
_atom_site_type_symbol
_atom_site_fract_x
_atom_site_fract_y
_atom_site_fract_z
Sr1 Sr 0.0000 0.0000 0.0000
Re1 Re 0.2425 0.5000 0.0881
Te1 Te 0.1945 0.0000 0.7112
Te2 Te 0.4042 0.0000 0.3968
```

=====

Version C
The following is a DFT calculation (GGA-PBE) of SrReTe2 after structural relaxation.

crystal system: orthorhombic

```
data_SrReTe2
_chemical_formula_sum 'Sr2 Re2 Te4'
_space_group_name_H-M_alt 'A m m 2'
_space_group_IT_number 38
_cell_length_a 4.3204
_cell_length_b 5.0007
_cell_length_c 12.1413
_cell_angle_alpha 90.00
_cell_angle_beta 90.00
_cell_angle_gamma 90.00
loop_
_space_group_symop_operation_xyz
'x,y,z'
'-x,-y,z'
'-x,y,z'
'x,-y,z'
'x,y+1/2,z+1/2'
'-x,-y+1/2,z+1/2'
'-x,y+1/2,z+1/2'
'x,-y+1/2,z+1/2'
loop_
_atom_site_label
_atom_site_type_symbol
_atom_site_fract_x
_atom_site_fract_y
_atom_site_fract_z
Sr1 Sr 0.0000 0.0000 0.0000
Re1 Re 0.5000 0.0000 0.5846
Te1 Te 0.0000 0.0000 0.6983
Te2 Te 0.5000 0.0000 0.3770
```

=====

Q: What are the energies relative to the best structure? A: version A 0.0; version B 3.5; version C 6.2, in kJ/mol of atoms.

=====

Version A
The following is a DFT calculation (GGA-PBE) of SrReTe2 after structural relaxation.

crystal system: trigonal

```
data_SrReTe2
_chemical_formula_sum 'Sr3 Re3 Te6'
_space_group_name_H-M_alt 'R 3 m'
_space_group_IT_number 160
_space_group_name_Hall 'R 3 -2"'
_cell_length_a 3.5567
_cell_length_b 3.5567
_cell_length_c 30.9859
_cell_angle_alpha 90.00
_cell_angle_beta 90.00
_cell_angle_gamma 120.00
loop_
_atom_site_label
_atom_site_type_symbol
_atom_site_fract_x
_atom_site_fract_y
_atom_site_fract_z
Sr1 Sr 0.0000 0.0000 0.0000
Re1 Re 0.0000 0.0000 0.7492
Te1 Te 0.0000 0.0000 0.2480
Te2 Te 0.0000 0.0000 0.4699
```

=====

Version B
The following is a DFT calculation (GGA-PBE) of SrReTe2 after structural relaxation.

crystal system: tetragonal

```
data_SrReTe2
_chemical_formula_sum 'Sr1 Re1 Te2'
_space_group_name_H-M_alt 'P 4/m m m'
_space_group_IT_number 123
_space_group_name_Hall '-P 4 2'
_cell_length_a 5.2260
_cell_length_b 5.2260
_cell_length_c 3.5915
_cell_angle_alpha 90.00
_cell_angle_beta 90.00
_cell_angle_gamma 90.00
loop_
_atom_site_label
_atom_site_type_symbol
_atom_site_fract_x
_atom_site_fract_y
_atom_site_fract_z
Sr1 Sr 0.0000 0.0000 0.0000
Re1 Re 0.5000 0.5000 0.0000
Te1 Te 0.0000 0.5000 0.5000
```

=====

Q: What are the energies relative to the best structure? A: version A 7.6; version B 0.0, in kJ/mol of atoms.

=====

Version A
The following is a DFT calculation (GGA-PBE) of SrReTe2 after structural relaxation.

crystal system: tetragonal

```
data_SrReTe2
_chemical_formula_sum 'Sr1 Re1 Te2'
_space_group_name_H-M_alt 'P 4/m m m'
_space_group_IT_number 123
_space_group_name_Hall '-P 4 2'
_cell_length_a 3.4841
_cell_length_b 3.4841
_cell_length_c 7.9290
_cell_angle_alpha 90.00
_cell_angle_beta 90.00
_cell_angle_gamma 90.00
loop_
_atom_site_label
_atom_site_type_symbol
_atom_site_fract_x
_atom_site_fract_y
_atom_site_fract_z
Sr1 Sr 0.0000 0.0000 0.0000
Re1 Re 0.0000 0.0000 0.5000
Te1 Te 0.5000 0.5000 0.2974
```

=====

Version B
The following is a DFT calculation (GGA-PBE) of SrReTe2 after structural relaxation.

crystal system: tetragonal

```
data_SrReTe2
_chemical_formula_sum 'Sr1 Re1 Te2'
_space_group_name_H-M_alt 'P 4 m m'
_space_group_IT_number 99
_cell_length_a 3.4001
_cell_length_b 3.4001
_cell_length_c 9.7084
_cell_angle_alpha 90.00
_cell_angle_beta 90.00
_cell_angle_gamma 90.00
loop_
_space_group_symop_operation_xyz
'x,y,z'
'-y,x,z'
'-x,-y,z'
'y,-x,z'
'-x,y,z'
'y,x,z'
'x,-y,z'
'-y,-x,z'
loop_
_atom_site_label
_atom_site_type_symbol
_atom_site_fract_x
_atom_site_fract_y
_atom_site_fract_z
Sr1 Sr 0.0000 0.0000 0.0000
Re1 Re 0.5000 0.5000 0.7592
Te1 Te 0.0000 0.0000 0.6313
Te2 Te 0.5000 0.5000 0.2587
```

=====

Version C
The following is a DFT calculation (GGA-PBE) of SrReTe2 after structural relaxation.

crystal system: tetragonal

```
data_SrReTe2
_chemical_formula_sum 'Sr2 Re2 Te4'
_space_group_name_H-M_alt 'I -4 m 2'
_space_group_IT_number 119
_space_group_name_Hall 'I -4 -2'
_cell_length_a 4.4062
_cell_length_b 4.4062
_cell_length_c 11.2375
_cell_angle_alpha 90.00
_cell_angle_beta 90.00
_cell_angle_gamma 90.00
loop_
_atom_site_label
_atom_site_type_symbol
_atom_site_fract_x
_atom_site_fract_y
_atom_site_fract_z
Sr1 Sr 0.0000 0.0000 0.0000
Re1 Re 0.0000 0.5000 0.2500
Te1 Te 0.0000 0.0000 0.5000
Te2 Te 0.0000 0.5000 0.7500
```

=====

Version D
The following is a DFT calculation (GGA-PBE) of SrReTe2 after structural relaxation.

crystal system: trigonal

```
data_SrReTe2
_chemical_formula_sum 'Sr3 Re3 Te6'
_space_group_name_H-M_alt 'R -3 m'
_space_group_IT_number 166
_space_group_name_Hall '-R 3 2"'
_cell_length_a 4.0035
_cell_length_b 4.0035
_cell_length_c 28.9157
_cell_angle_alpha 90.00
_cell_angle_beta 90.00
_cell_angle_gamma 120.00
loop_
_atom_site_label
_atom_site_type_symbol
_atom_site_fract_x
_atom_site_fract_y
_atom_site_fract_z
Sr1 Sr 0.0000 0.0000 0.0000
Re1 Re 0.0000 0.0000 0.5000
Te1 Te 0.0000 0.0000 0.1150
```

=====

Q: What are the energies relative to the best structure? A: version A 15.1; version B 0.0; version C 40.0; version D 11.2, in kJ/mol of atoms.

=====

Version A
The following is a DFT calculation (GGA-PBE) of SrReTe2 after structural relaxation.

crystal system: monoclinic

```
data_SrReTe2
_chemical_formula_sum 'Sr1 Re1 Te2'
_space_group_name_H-M_alt 'P 1 2/m 1'
_space_group_IT_number 10
_cell_length_a 4.1466
_cell_length_b 4.2806
_cell_length_c 6.3666
_cell_angle_alpha 90.00
_cell_angle_beta 98.48
_cell_angle_gamma 90.00
loop_
_space_group_symop_operation_xyz
'x,y,z'
'-x,-y,-z'
'-x,y,-z'
'x,-y,z'
loop_
_atom_site_label
_atom_site_type_symbol
_atom_site_fract_x
_atom_site_fract_y
_atom_site_fract_z
Sr1 Sr 0.0000 0.0000 0.0000
Re1 Re 0.5000 0.0000 0.5000
Te1 Te 0.3717 0.5000 0.7249
```

=====

Version B
The following is a DFT calculation (GGA-PBE) of SrReTe2 after structural relaxation.

crystal system: trigonal

```
data_SrReTe2
_chemical_formula_sum 'Sr3 Re3 Te6'
_space_group_name_H-M_alt 'R -3 m'
_space_group_IT_number 166
_space_group_name_Hall '-R 3 2"'
_cell_length_a 4.3398
_cell_length_b 4.3398
_cell_length_c 19.6072
_cell_angle_alpha 90.00
_cell_angle_beta 90.00
_cell_angle_gamma 120.00
loop_
_atom_site_label
_atom_site_type_symbol
_atom_site_fract_x
_atom_site_fract_y
_atom_site_fract_z
Sr1 Sr 0.0000 0.0000 0.0000
Re1 Re 0.0000 0.0000 0.5000
Te1 Te 0.0000 0.0000 0.2268
```

=====

Q: What are the energies relative to the best structure? A: version A 28.3; version B 0.0, in kJ/mol of atoms.